The following is a DFT calculation (PBE-GGA) of an optimized crystal structure of Ce10Ge3Te3.

Its density of states at the Fermi level is 50.13 states/eV/cell. The formation energy without anion corrections is -770 meV per atom. The size of the total moment comes out at 9.1 μB per cell. As for the raw total energy: -0.4361 Ry/atom.

The structure belongs to space group P-62m (No. 189); the cell edges are 9.0770, 9.0770 and 6.2285 Å and the angles 90.00°, 90.00° and 120.00°. The inequivalent atoms are Ce at (0.0000, 0.2598, 0.0000), Ce at (0.0000, 0.7408, 0.5000), Ce at (0.3333, 0.6667, 0.2325), Ge at (0.0000, 0.6235, 0.0000) and Te at (0.0000, 0.3864, 0.5000).